# Tb4HgAu3

Crystalline Tb4HgAu3 at its relaxed geometry (PBE-GGA, the Alexandria database).

Cell: 3.7454 4.7585 11.1848 Å, 90.00 90.00 90.00°
Space group Pmm2 (No. 25)
Unique sites:
Tb: 0.0000 0.0000 0.0000 [1 per cell]
Tb: 0.0000 0.5000 0.2694 [1 per cell]
Tb: 0.5000 0.0000 0.4858 [1 per cell]
Tb: 0.5000 0.5000 0.7743 [1 per cell]
Hg: 0.0000 0.0000 0.7195 [1 per cell]
Au: 0.0000 0.5000 0.5424 [1 per cell]
Au: 0.5000 0.0000 0.2193 [1 per cell]
Au: 0.5000 0.5000 0.0451 [1 per cell]

## Properties
As for the formation energy from the elements: -584 kJ/mol of formula units. The calculation puts the magnetization at 0.000 μB per formula unit. The raw total energy comes out at -34.71 eV for the cell shown. The offset from the most stable computed form comes out at 0 meV/atom.



# TbHgAu

Crystalline TbHgAu at its relaxed geometry (PBE-GGA, the Alexandria database).

Cell: 5.1315 5.1315 6.1125 Å, 90.00 90.00 120.00°
Space group P6_3/mmc (No. 194)
Unique sites:
Tb: 0.3333 0.6667 0.2500 [2 per cell]
Hg: 0.0000 0.0000 0.0000 [2 per cell]
Au: 0.3333 0.6667 0.7500 [2 per cell]

## Properties
As for the formation energy from the elements: -191 kJ/mol of formula units. The calculation puts the magnetization at 0.000 μB per formula unit. The raw total energy comes out at -20.37 eV for the cell shown.



# Tb4Hg3Au2

Crystalline Tb4Hg3Au2 at its relaxed geometry (PBE-GGA, the Alexandria database).

Cell: 8.7755 5.0714 9.9575 Å, 90.00 90.06 90.00°
Space group C2/m (No. 12)
Unique sites:
Tb: 0.9997 0.0000 0.1700 [4 per cell]
Tb: 0.1668 0.5000 0.6163 [4 per cell]
Hg: 0.0000 0.0000 0.5000 [2 per cell]
Hg: 0.1667 0.5000 0.9665 [4 per cell]
Au: 0.1666 0.5000 0.3129 [4 per cell]

## Properties
As for the formation energy from the elements: -496 kJ/mol of formula units. The calculation puts the magnetization at 0.000 μB per formula unit. The raw total energy comes out at -62.24 eV for the cell shown.



# TbHgAu

Crystalline TbHgAu at its relaxed geometry (PBE-GGA, the Alexandria database).

Cell: 3.8488 3.8488 9.3411 Å, 90.00 90.00 90.00°
Space group I4mm (No. 107)
Unique sites:
Tb: 0.0000 0.0000 0.0000 [2 per cell]
Hg: 0.0000 0.0000 0.3255 [2 per cell]
Au: 0.0000 0.0000 0.6594 [2 per cell]

## Properties
As for the formation energy from the elements: -175 kJ/mol of formula units. The calculation puts the magnetization at 0.000 μB per formula unit. The raw total energy comes out at -20.05 eV for the cell shown.



# Tb3Hg2Au2

Crystalline Tb3Hg2Au2 at its relaxed geometry (PBE-GGA, the Alexandria database).

Cell: 3.9914 23.6653 3.6715 Å, 90.00 90.00 90.00°
Space group Cmmm (No. 65)
Unique sites:
Tb: 0.0000 0.0000 0.0000 [2 per cell]
Tb: 0.0000 0.1585 0.0000 [4 per cell]
Hg: 0.0000 0.4241 0.5000 [4 per cell]
Au: 0.0000 0.2908 0.5000 [4 per cell]

## Properties
As for the formation energy from the elements: -422 kJ/mol of formula units. The calculation puts the magnetization at 0.000 μB per formula unit. The raw total energy comes out at -50.84 eV for the cell shown.



# Tb3HgAu4

Crystalline Tb3HgAu4 at its relaxed geometry (PBE-GGA, the Alexandria database).

Cell: 4.9600 4.9600 7.4097 Å, 90.00 90.00 90.00°
Space group P4/mmm (No. 123)
Unique sites:
Tb: 0.0000 0.0000 0.0000 [1 per cell]
Tb: 0.0000 0.0000 0.5000 [1 per cell]
Tb: 0.5000 0.5000 0.0000 [1 per cell]
Hg: 0.5000 0.5000 0.5000 [1 per cell]
Au: 0.0000 0.5000 0.2418 [4 per cell]

## Properties
As for the formation energy from the elements: -547 kJ/mol of formula units. The calculation puts the magnetization at 0.000 μB per formula unit. The raw total energy comes out at -32.98 eV for the cell shown.



# TbHgAu

Crystalline TbHgAu at its relaxed geometry (PBE-GGA, the Alexandria database).

Cell: 4.8360 4.8360 3.4132 Å, 90.00 90.00 120.00°
Space group P-6m2 (No. 187)
Unique sites:
Tb: 0.0000 0.0000 0.0000 [1 per cell]
Hg: 0.3333 0.6667 0.5000 [1 per cell]
Au: 0.6667 0.3333 0.5000 [1 per cell]

## Properties
As for the formation energy from the elements: -170 kJ/mol of formula units. The calculation puts the magnetization at 0.000 μB per formula unit. The raw total energy comes out at -9.97 eV for the cell shown.



# Tb2Hg3Au2

Crystalline Tb2Hg3Au2 at its relaxed geometry (PBE-GGA, the Alexandria database).

Cell: 3.9727 3.5960 12.8418 Å, 90.00 98.80 90.00°
Space group P2/m (No. 10)
Unique sites:
Tb: 0.0769 0.0000 0.1512 [2 per cell]
Hg: 0.2096 0.5000 0.4158 [2 per cell]
Hg: 0.5000 0.5000 0.0000 [1 per cell]
Au: 0.3704 0.5000 0.7454 [2 per cell]

## Properties
As for the formation energy from the elements: -290 kJ/mol of formula units. The calculation puts the magnetization at 0.000 μB per formula unit. The raw total energy comes out at -19.72 eV for the cell shown.



# Tb3Hg3Au2

Crystalline Tb3Hg3Au2 at its relaxed geometry (PBE-GGA, the Alexandria database).

Cell: 5.0249 5.2406 7.2796 Å, 90.00 90.00 90.00°
Space group Pmmm (No. 47)
Unique sites:
Tb: 0.0000 0.0000 0.0000 [1 per cell]
Tb: 0.0000 0.0000 0.5000 [1 per cell]
Tb: 0.5000 0.5000 0.0000 [1 per cell]
Hg: 0.0000 0.5000 0.2571 [2 per cell]
Hg: 0.5000 0.5000 0.5000 [1 per cell]
Au: 0.5000 0.0000 0.2317 [2 per cell]

## Properties
As for the formation energy from the elements: -419 kJ/mol of formula units. The calculation puts the magnetization at 0.000 μB per formula unit. The raw total energy comes out at -25.69 eV for the cell shown. The offset from the most stable computed form comes out at 79 meV/atom.



# TbHgAu

Crystalline TbHgAu at its relaxed geometry (PBE-GGA, the Alexandria database).

Cell: 9.2230 5.2541 5.9870 Å, 90.00 102.13 90.00°
Space group C2/m (No. 12)
Unique sites:
Tb: 0.1387 0.0000 0.2943 [4 per cell]
Hg: 0.0382 0.5000 0.7666 [4 per cell]
Au: 0.2058 0.0000 0.7940 [4 per cell]

## Properties
As for the formation energy from the elements: -165 kJ/mol of formula units. The calculation puts the magnetization at 0.000 μB per formula unit. The raw total energy comes out at -39.66 eV for the cell shown.



# Tb4HgAu3

Crystalline Tb4HgAu3 at its relaxed geometry (PBE-GGA, the Alexandria database).

Cell: 3.6296 5.1683 10.3287 Å, 90.00 90.00 90.00°
Space group Pmmm (No. 47)
Unique sites:
Tb: 0.0000 0.0000 0.0000 [1 per cell]
Tb: 0.0000 0.0000 0.5000 [1 per cell]
Tb: 0.0000 0.5000 0.2421 [2 per cell]
Hg: 0.5000 0.5000 0.5000 [1 per cell]
Au: 0.5000 0.0000 0.2542 [2 per cell]
Au: 0.5000 0.5000 0.0000 [1 per cell]

## Properties
As for the formation energy from the elements: -580 kJ/mol of formula units. The calculation puts the magnetization at 0.000 μB per formula unit. The raw total energy comes out at -34.67 eV for the cell shown. The offset from the most stable computed form comes out at 5 meV/atom.



# Tb2HgAu3

Crystalline Tb2HgAu3 at its relaxed geometry (PBE-GGA, the Alexandria database).

Cell: 6.7816 9.6393 16.5214 Å, 90.00 90.00 90.00°
Space group Fmmm (No. 69)
Unique sites:
Tb: 0.2463 0.0000 0.0000 [8 per cell]
Tb: 0.2500 0.2500 0.2500 [8 per cell]
Hg: 0.0000 0.0000 0.3332 [8 per cell]
Au: 0.0000 0.0000 0.1649 [8 per cell]
Au: 0.0000 0.2499 0.0835 [16 per cell]

## Properties
As for the formation energy from the elements: -390 kJ/mol of formula units. The calculation puts the magnetization at 0.000 μB per formula unit. The raw total energy comes out at -187.46 eV for the cell shown. The offset from the most stable computed form comes out at 29 meV/atom.



# Tb8Hg2Au

Crystalline Tb8Hg2Au at its relaxed geometry (PBE-GGA, the Alexandria database).

Cell: 5.0534 8.4734 14.5136 Å, 90.00 90.00 90.00°
Space group Immm (No. 71)
Unique sites:
Tb: 0.0000 0.0000 0.1266 [4 per cell]
Tb: 0.0000 0.2221 0.3399 [8 per cell]
Tb: 0.0000 0.3204 0.0000 [4 per cell]
Hg: 0.0000 0.5000 0.1997 [4 per cell]
Au: 0.0000 0.5000 0.5000 [2 per cell]

## Properties
As for the formation energy from the elements: -216 kJ/mol of formula units. The calculation puts the magnetization at 0.003 μB per formula unit. The raw total energy comes out at -86.32 eV for the cell shown. The offset from the most stable computed form comes out at 94 meV/atom.



# TbHgAu3

Crystalline TbHgAu3 at its relaxed geometry (PBE-GGA, the Alexandria database).

Cell: 5.0514 6.5932 6.8921 Å, 90.00 109.41 90.00°
Space group P2_1/m (No. 11)
Unique sites:
Tb: 0.1261 0.2500 0.2443 [2 per cell]
Hg: 0.1089 0.7500 0.2517 [2 per cell]
Au: 0.3183 0.5073 0.6330 [4 per cell]
Au: 0.4856 0.7500 0.0044 [2 per cell]

## Properties
As for the formation energy from the elements: -212 kJ/mol of formula units. The calculation puts the magnetization at 0.000 μB per formula unit. The raw total energy comes out at -33.92 eV for the cell shown.



# Tb3Hg3Au2

Crystalline Tb3Hg3Au2 at its relaxed geometry (PBE-GGA, the Alexandria database).

Cell: 7.7448 7.7448 3.7750 Å, 90.00 90.00 120.00°
Space group P-62m (No. 189)
Unique sites:
Tb: 0.0000 0.5888 0.0000 [3 per cell]
Hg: 0.0000 0.2298 0.5000 [3 per cell]
Au: 0.3333 0.6667 0.5000 [2 per cell]

## Properties
As for the formation energy from the elements: -480 kJ/mol of formula units. The calculation puts the magnetization at 0.000 μB per formula unit. The raw total energy comes out at -26.32 eV for the cell shown. The offset from the most stable computed form comes out at 0 meV/atom.



# Tb3Hg2Au3

Crystalline Tb3Hg2Au3 at its relaxed geometry (PBE-GGA, the Alexandria database).

Cell: 3.7329 5.0330 20.0344 Å, 90.00 90.00 90.00°
Space group Immm (No. 71)
Unique sites:
Tb: 0.0000 0.0000 0.0000 [2 per cell]
Tb: 0.0000 0.5000 0.1315 [4 per cell]
Hg: 0.0000 0.0000 0.2381 [4 per cell]
Au: 0.0000 0.0000 0.5000 [2 per cell]
Au: 0.0000 0.5000 0.3841 [4 per cell]

## Properties
As for the formation energy from the elements: -505 kJ/mol of formula units. The calculation puts the magnetization at 0.000 μB per formula unit. The raw total energy comes out at -59.12 eV for the cell shown. The offset from the most stable computed form comes out at 0 meV/atom.



# Tb4Hg2Au

Crystalline Tb4Hg2Au at its relaxed geometry (PBE-GGA, the Alexandria database).

Cell: 5.1630 5.1630 25.3830 Å, 90.00 90.00 120.00°
Space group R-3m (No. 166, hexagonal axes)
Unique sites:
Tb: 0.0000 0.0000 0.1234 [6 per cell]
Tb: 0.0000 0.0000 0.3742 [6 per cell]
Hg: 0.0000 0.0000 0.2446 [6 per cell]
Au: 0.0000 0.0000 0.0000 [3 per cell]

## Properties
As for the formation energy from the elements: -285 kJ/mol of formula units. The calculation puts the magnetization at 0.000 μB per formula unit. The raw total energy comes out at -76.06 eV for the cell shown.



# Tb5HgAu4

Crystalline Tb5HgAu4 at its relaxed geometry (PBE-GGA, the Alexandria database).

Cell: 3.6292 3.6292 18.2886 Å, 90.00 90.00 90.00°
Space group P4/mmm (No. 123)
Unique sites:
Tb: 0.0000 0.0000 0.0000 [1 per cell]
Tb: 0.0000 0.0000 0.1979 [2 per cell]
Tb: 0.0000 0.0000 0.3939 [2 per cell]
Hg: 0.5000 0.5000 0.5000 [1 per cell]
Au: 0.5000 0.5000 0.0987 [2 per cell]
Au: 0.5000 0.5000 0.2976 [2 per cell]

## Properties
As for the formation energy from the elements: -751 kJ/mol of formula units. The calculation puts the magnetization at 0.000 μB per formula unit. The raw total energy comes out at -44.34 eV for the cell shown.



# TbTiHgAu

Crystalline TbTiHgAu at its relaxed geometry (PBE-GGA, the Alexandria database).

Cell: 7.0320 7.0320 7.0320 Å, 90.00 90.00 90.00°
Space group F-43m (No. 216)
Unique sites:
Tb: 0.0000 0.0000 0.0000 [4 per cell]
Ti: 0.0000 0.0000 0.5000 [4 per cell]
Hg: 0.2500 0.2500 0.7500 [4 per cell]
Au: 0.2500 0.2500 0.2500 [4 per cell]

## Properties
As for the formation energy from the elements: -126 kJ/mol of formula units. The calculation puts the magnetization at 1.745 μB per formula unit. The raw total energy comes out at -69.64 eV for the cell shown.



# TbTlHgAu

Crystalline TbTlHgAu at its relaxed geometry (PBE-GGA, the Alexandria database).

Cell: 7.2370 7.2370 7.2370 Å, 90.00 90.00 90.00°
Space group F-43m (No. 216)
Unique sites:
Tb: 0.0000 0.0000 0.0000 [4 per cell]
Tl: 0.0000 0.0000 0.5000 [4 per cell]
Hg: 0.2500 0.2500 0.7500 [4 per cell]
Au: 0.2500 0.2500 0.2500 [4 per cell]

## Properties
As for the formation energy from the elements: -162 kJ/mol of formula units. The calculation puts the magnetization at 0.000 μB per formula unit. The raw total energy comes out at -49.01 eV for the cell shown.